No. 1
This record from Alexandria via LeMat-Bulk describes a crystal of BaCd2Pt2 relaxed with PBEsol. The functional is SCAN.

Structure (POSCAR):
```
BaCd2Pt2
1.0
-2.9145 -0.5075 3.2616
2.7214 -2.8319 1.9911
2.6308 6.1921 0.3418
Ba Pt Cd
1 2 2
direct
0.0000 0.0000 0.0000
0.3919 0.3919 0.7839
0.6081 0.6081 0.2161
0.2500 0.7500 0.5000
0.7500 0.2500 0.5000
```

No. 2
This record from Alexandria via LeMat-Bulk describes a crystal of Ba2CdPt2 relaxed with PBEsol. The functional is SCAN.

Structure (POSCAR):
```
Ba2CdPt2
1.0
4.4197 0.0000 0.0000
0.0000 7.8541 0.0000
0.0000 0.0000 7.8541
Ba Pt Cd
4 4 2
direct
0.5000 0.1727 0.6727
0.5000 0.6727 0.8273
0.5000 0.8273 0.3273
0.5000 0.3273 0.1727
0.0000 0.3742 0.8742
0.0000 0.8742 0.6258
0.0000 0.6258 0.1258
0.0000 0.1258 0.3742
0.0000 0.0000 0.0000
0.0000 0.5000 0.5000
```

No. 3
This record from Alexandria via LeMat-Bulk describes a crystal of BaCd4Pt2 relaxed with PBEsol. The functional is SCAN.

Structure (POSCAR):
```
BaCd4Pt2
1.0
-2.9548 1.2383 -3.0716
1.2438 -7.1544 -4.0808
-6.0899 -3.5776 4.4159
Ba Cd Pt
2 8 4
direct
0.5000 0.5000 0.5000
0.0000 0.0000 0.0000
0.5000 0.3438 0.0899
0.5000 0.6562 0.9101
0.0000 0.8438 0.4101
0.0000 0.1562 0.5899
0.5000 0.0899 0.3438
0.5000 0.9101 0.6562
0.0000 0.4101 0.8438
0.0000 0.5899 0.1562
0.5000 0.7791 0.2209
0.5000 0.2209 0.7791
0.0000 0.2791 0.2791
0.0000 0.7209 0.7209
```

Values for final energy, eV/atom, ordered as above
-48.793; -50.627; -43.621